VASP calculation (PBE-GGA) on Dy2Er3Lu2Ni2Te2 after structural relaxation.

Output
* electronic total energy: -5.157 eV per atom

```
Dy2Er3Lu2Ni2Te2
1.0
-1.916 7.729 4.754
1.916 -7.729 4.754
1.916 7.729 -4.754
Dy Er Lu Ni Te
2 3 2 2 2
Cartesian
0.000 2.860 0.000
0.000 12.597 0.000
1.916 0.000 1.176
1.916 5.472 -1.399
0.000 2.257 3.355
0.000 5.651 1.954
0.000 9.806 1.954
1.916 3.665 1.837
0.000 4.064 6.591
1.916 0.000 4.407
0.000 0.000 8.132
```